[1]
This record from the Alexandria database describes crystalline K2MgBe at its relaxed geometry. The functional is GGA-PBE.

Cell lengths 3.750, 3.846, 10.085 Å; angles 90.00, 90.35, 90.00 degrees
Element x y z (fractional)
K 0.001 0.000 0.217
K 0.999 0.000 0.783
Mg 0.500 0.500 0.500
Be 0.500 0.500 0.000

Values from the calculation:
offset from the most stable computed form = 0.2243 eV per atom
E_tot = -1.1649 eV/atom
Fermi-level density of states = 2.8 states/eV/f.u.
SG = No. 10

=====

[2]
This record from the Alexandria database describes crystalline ZnOsW2 at its relaxed geometry. The functional is GGA-PBE.

Cell lengths 5.412, 8.066, 2.778 Å; angles 90.00, 90.00, 90.00 degrees
Element x y z (fractional)
Zn 0.000 0.000 0.000
Zn 0.500 0.500 0.000
Os 0.000 0.500 0.000
Os 0.500 0.000 0.000
W 0.250 0.250 0.500
W 0.250 0.750 0.500
W 0.750 0.250 0.500
W 0.750 0.750 0.500

Values from the calculation:
E_tot = -9.3549 eV/atom
Fermi-level density of states = 2.6 states/eV/f.u.
SG = No. 65

=====

[3]
This record from the Alexandria database describes crystalline Li2YMgHg4 at its relaxed geometry. The functional is GGA-PBE.

Cell lengths 9.117, 9.117, 9.117 Å; angles 30.36, 30.36, 30.36 degrees
Element x y z (fractional)
Li 0.240 0.240 0.240
Li 0.760 0.760 0.760
Y 0.000 0.000 0.000
Mg 0.500 0.500 0.500
Hg 0.123 0.123 0.123
Hg 0.387 0.387 0.387
Hg 0.613 0.613 0.613
Hg 0.877 0.877 0.877

Values from the calculation:
E_tot = -1.9980 eV/atom
Fermi-level density of states = 3.4 states/eV/f.u.
SG = No. 166

=====

[4]
This record from the Alexandria database describes crystalline Dy3Er5Sc4 at its relaxed geometry. The functional is GGA-PBE.

Cell lengths 8.306, 8.306, 8.842 Å; angles 113.93, 113.93, 39.83 degrees
Element x y z (fractional)
Dy 0.000 0.000 0.000
Dy 0.294 0.294 0.780
Dy 0.706 0.706 0.220
Er 0.075 0.075 0.701
Er 0.175 0.175 0.390
Er 0.500 0.500 0.000
Er 0.825 0.825 0.610
Er 0.925 0.925 0.299
Sc 0.290 0.290 0.127
Sc 0.419 0.419 0.556
Sc 0.581 0.581 0.444
Sc 0.710 0.710 0.873

Values from the calculation:
E_tot = -4.8581 eV/atom
Fermi-level density of states = 21.2 states/eV/f.u.
SG = No. 12